Computed, not measured: a relaxed structure of La2PrTh3N6 at the PBE level of DFT.

The structure belongs to space group C2/m (No. 12); the cell edges are 16.1353, 3.6948 and 7.3883 Å and the angles 90.00°, 103.37° and 90.00°. The distinct sites, in fractional coordinates, are La at (0.1660, 0.0000, 0.3320), Pr at (0.0000, 0.5000, 0.0000), Th at (0.0000, 0.5000, 0.5000), Th at (0.1662, 0.0000, 0.8343), N at (0.0048, 0.0000, 0.7382), N at (0.1610, 0.5000, 0.5970) and N at (0.1715, 0.5000, 0.0715).

For the raw formation energy, the calculation gives -1.504 eV per atom.